Entry from Alexandria via LeMat-Bulk: Hf2TiP2 at its PBEsol-relaxed geometry (SCAN).

Summary:
The calculation puts the energy of formation at -1.202 eV/atom.

Cell lengths 6.6410, 6.6410, 3.5721 Å; angles 90.00, 90.00, 90.00 degrees
Space group P4/mbm (No. 127)
One atom of each set of equivalent atoms:
Hf: 0.1655 0.3345 0.0000
Ti: 0.0000 0.0000 0.5000
P: 0.1381 0.6381 0.5000

Entry from Alexandria via LeMat-Bulk: Al2ZnHg2 at its PBEsol-relaxed geometry (SCAN).

Summary:
The calculation puts the energy of formation at 0.272 eV/atom.

Cell lengths 4.1277, 4.1277, 12.3463 Å; angles 90.00, 90.00, 90.00 degrees
Space group I4/mmm (No. 139)
One atom of each set of equivalent atoms:
Al: 0.0000 0.0000 0.1014
Zn: 0.0000 0.0000 0.5000
Hg: 0.0000 0.5000 0.2500

Entry from Alexandria via LeMat-Bulk: FeReH2Pt at its PBEsol-relaxed geometry (SCAN).

Cell lengths 3.5329, 3.5329, 4.6204 Å; angles 90.00, 90.00, 90.00 degrees
Space group P4/mmm (No. 123)
One atom of each set of equivalent atoms:
Fe: 0.0000 0.0000 0.0000
Re: 0.0000 0.0000 0.5000
H: 0.0000 0.5000 0.0000
Pt: 0.5000 0.5000 0.5000

Entry from Alexandria via LeMat-Bulk: MgIn2SnF at its PBEsol-relaxed geometry (SCAN).

Summary:
The formation energy (no corrections) is 0.030 eV/atom.

Cell lengths 5.6361, 5.6361, 5.3349 Å; angles 90.00, 90.00, 90.00 degrees
Space group P4/mmm (No. 123)
One atom of each set of equivalent atoms:
Mg: 0.0000 0.0000 0.0000
In: 0.0000 0.5000 0.5000
Sn: 0.0000 0.0000 0.5000
F: 0.5000 0.5000 0.0000

Entry from Alexandria via LeMat-Bulk: Ba6Mg7 at its PBEsol-relaxed geometry (SCAN).

Summary:
The calculation puts the energy of formation at -0.020 eV/atom.

Cell lengths 6.6620, 6.6620, 37.2517 Å; angles 90.00, 90.00, 120.00 degrees
Space group R-3m (No. 166, hexagonal axes)
One atom of each set of equivalent atoms:
Ba: 0.0000 0.0000 0.0529
Ba: 0.0000 0.0000 0.1542
Ba: 0.0000 0.0000 0.3278
Mg: 0.0000 0.0000 0.5000
Mg: 0.0122 0.5061 0.0955

Entry from Alexandria via LeMat-Bulk: LiTa2Sb at its PBEsol-relaxed geometry (SCAN).

Summary:
The formation energy (no corrections) is 0.014 eV/atom.

Cell lengths 3.6079, 4.2573, 8.9462 Å; angles 90.00, 90.00, 90.00 degrees
Space group Immm (No. 71)
One atom of each set of equivalent atoms:
Li: 0.0000 0.0000 0.0000
Ta: 0.0000 0.5000 0.2535
Sb: 0.0000 0.0000 0.5000

Entry from Alexandria via LeMat-Bulk: LaSc2Cu at its PBEsol-relaxed geometry (SCAN).

Summary:
The calculation puts the energy of formation at 0.202 eV/atom.

Cell lengths 4.9719, 4.9719, 3.4512 Å; angles 90.00, 90.00, 90.00 degrees
Space group P4/mmm (No. 123)
One atom of each set of equivalent atoms:
La: 0.0000 0.0000 0.0000
Sc: 0.0000 0.5000 0.5000
Cu: 0.5000 0.5000 0.0000

Entry from Alexandria via LeMat-Bulk: Sc3TePd at its PBEsol-relaxed geometry (SCAN).

Summary:
The formation energy (no corrections) is -0.487 eV/atom.

Cell lengths 4.9967, 4.9967, 4.9967 Å; angles 90.00, 90.00, 90.00 degrees
Space group Pm-3m (No. 221)
One atom of each set of equivalent atoms:
Sc: 0.0000 0.0000 0.5000
Te: 0.5000 0.5000 0.5000
Pd: 0.0000 0.0000 0.0000

no.,E_tot (eV per cell)
1,-336.37
2,-327.98
3,-161.39
4,-111.06
5,-817.14
6,-345.52
7,-85.97
8,-115.17